Entry 1:
DFT (PBE) results for a geometry-optimized SrCuAs2S structure.

Results
* VASP energy: -4.070 eV per atom
* formation energy (no corrections): -1.1 eV per formula unit
* SG: P4/mmm (123)
* total magnetization: 0.000 μB per atom

```
SrCuAs2S
1.0
4.724 0.000 0.000
0.000 5.029 0.000
0.000 0.000 4.724
As S Sr Cu
2 1 1 1
direct
0.500 0.000 0.000 As
0.000 0.000 0.500 As
0.000 0.500 0.000 S
0.500 0.500 0.500 Sr
0.000 0.000 0.000 Cu
```

***

Entry 2:
DFT (PBE) results for a geometry-optimized SrCuAs2S4 structure.

Results
* VASP energy: -4.445 eV per atom
* formation energy (no corrections): -4.0 eV per formula unit
* SG: Fmm2 (42)
* total magnetization: 0.000 μB per atom

```
SrCuAs2S4
1.0
-2.836 -5.504 2.547
6.104 -2.748 -0.120
-0.990 5.404 2.266
Sr Cu S As
1 1 4 2
direct
0.000 0.000 0.999 Sr
0.499 0.499 0.998 Cu
0.448 0.861 0.309 S
0.119 0.119 0.649 S
0.530 0.530 0.649 S
0.861 0.448 0.309 S
0.272 0.772 0.544 As
0.772 0.272 0.544 As
```

***

Entry 3:
DFT (PBE) results for a geometry-optimized TaCu2AsS structure.

Results
* VASP energy: -4.814 eV per atom
* formation energy (no corrections): 4.8 eV per formula unit
* SG: P4/mmm (123)
* total magnetization: 0.000 μB per atom

```
TaCu2AsS
1.0
-0.682 -4.164 2.522
3.550 -2.168 -2.619
3.081 1.349 3.060
S Ta As Cu
1 1 1 2
direct
0.000 0.000 0.500 S
0.000 0.000 0.000 Ta
0.500 0.500 0.500 As
0.500 0.000 0.000 Cu
0.000 0.500 0.000 Cu
```

***

Entry 4:
DFT (PBE) results for a geometry-optimized CuTeAsS structure.

Results
* VASP energy: -3.997 eV per atom
* formation energy (no corrections): 0.0 eV per formula unit
* SG: Cm (8)
* total magnetization: 0.000 μB per atom

```
CuTeAsS
1.0
-3.872 -0.705 1.838
0.842 -1.895 -3.816
4.399 -3.683 3.121
Cu Te S As
1 1 1 1
direct
0.211 0.990 0.201 Cu
0.476 0.614 0.090 Te
0.448 0.134 0.582 S
0.194 0.463 0.656 As
```

***

Entry 5:
DFT (PBE) results for a geometry-optimized Cu2TeAsS6 structure.

Results
* VASP energy: -4.117 eV per atom
* formation energy (no corrections): -0.4 eV per formula unit
* SG: C2/c (15)
* total magnetization: 0.000 μB per atom

```
Cu2TeAsS6
1.0
6.659 -0.493 -0.511
1.430 7.973 -0.155
1.430 -0.450 7.962
Cu S As Te
4 12 2 2
direct
0.228 0.771 0.566 Cu
0.772 0.229 0.434 Cu
0.728 0.566 0.771 Cu
0.272 0.434 0.229 Cu
0.382 0.914 0.358 S
0.618 0.086 0.642 S
0.043 0.383 0.445 S
0.118 0.642 0.086 S
0.393 0.233 0.029 S
0.457 0.555 0.617 S
0.607 0.767 0.971 S
0.882 0.358 0.914 S
0.957 0.617 0.555 S
0.893 0.029 0.233 S
0.543 0.445 0.383 S
0.107 0.971 0.767 S
0.750 0.103 0.897 As
0.250 0.897 0.103 As
0.750 0.758 0.242 Te
0.250 0.242 0.758 Te
```

***

Entry 6:
DFT (PBE) results for a geometry-optimized Cu2TeAsS4 structure.

Results
* VASP energy: -4.120 eV per atom
* formation energy (no corrections): -0.5 eV per formula unit
* SG: Pmn2_1 (31)
* total magnetization: 0.000 μB per atom

```
Cu2TeAsS4
1.0
5.947 0.000 0.000
0.000 8.117 0.000
0.000 0.000 8.160
As Cu Te S
2 4 2 8
direct
0.505 0.799 0.000 As
0.005 0.201 0.500 As
0.994 0.641 0.252 Cu
0.494 0.359 0.752 Cu
0.994 0.641 0.748 Cu
0.494 0.359 0.248 Cu
0.985 0.241 0.000 Te
0.485 0.759 0.500 Te
0.872 0.740 0.000 S
0.392 0.242 0.000 S
0.879 0.367 0.283 S
0.379 0.633 0.783 S
0.372 0.260 0.500 S
0.892 0.758 0.500 S
0.379 0.633 0.217 S
0.879 0.367 0.717 S
```

***

Entry 7:
DFT (PBE) results for a geometry-optimized TlCu2AsS4 structure.

Results
* VASP energy: -4.075 eV per atom
* formation energy (no corrections): -0.9 eV per formula unit
* SG: I-42m (121)
* total magnetization: 0.000 μB per atom

```
TlCu2AsS4
1.0
5.593 0.231 0.000
-0.233 5.593 0.000
-2.680 -2.912 5.692
As S Cu Tl
1 4 2 1
direct
0.500 0.500 0.000 As
0.406 0.884 0.290 S
0.884 0.406 0.290 S
0.594 0.594 0.710 S
0.116 0.116 0.710 S
0.750 0.250 0.500 Cu
0.250 0.750 0.500 Cu
0.000 0.000 0.000 Tl
```